# 1
VASP calculation (PBE) on Cr2GaIrS after structural relaxation.

Cell: 4.133 4.586 4.133 Å, 90.00 90.00 90.00°
Site moments in Bohr magnetons follow the coordinates.
Fractional coordinates of all 5 atoms:
Cr 0.500 0.000 0.000  1.95
Cr 0.000 0.000 0.500  1.84
Ga 0.000 0.500 0.000  -0.04
Ir 0.500 0.500 0.500  0.04
S 0.000 0.000 0.000  -0.08

Calculated values
* formation energy without anion corrections: 0.6236 eV/atom
* electronic total energy: -32.1 eV/cell
* space-group type: P4/mmm, No. 123


# 2
VASP calculation (PBE) on ScCrGaIr after structural relaxation.

Cell: 4.441 4.441 4.441 Å, 60.00 60.00 60.00°
Site moments in Bohr magnetons follow the coordinates.
Fractional coordinates of all 4 atoms:
Ir 0.750 0.750 0.750  -0.11
Sc 0.500 0.500 0.500  -0.03
Ga 0.000 0.000 0.000  -0.07
Cr 0.250 0.250 0.250  3.02

Calculated values
* electronic total energy: -29.8 eV/cell
* space-group type: F-43m, No. 216
* DFT formation energy: -0.48 eV/atom


# 3
VASP calculation (PBE) on CrGa2SnIr after structural relaxation.

Cell: 4.721 4.552 4.721 Å, 90.00 90.00 90.00°
Site moments in Bohr magnetons follow the coordinates.
Fractional coordinates of all 5 atoms:
Sn 0.500 0.500 0.500  -0.03
Ga 0.500 0.000 0.000  -0.03
Ga 0.000 0.000 0.500  -0.01
Cr 0.000 0.000 0.000  0.64
Ir 0.000 0.500 0.000  -0.02

Calculated values
* electronic total energy: -25.9 eV/cell
* space-group type: P4/mmm, No. 123
* DFT formation energy: 0.53 eV/atom


# 4
VASP calculation (PBE) on TaCrGaIr2 after structural relaxation.

Cell: 4.468 4.406 4.468 Å, 90.00 90.00 90.00°
Site moments in Bohr magnetons follow the coordinates.
Fractional coordinates of all 5 atoms:
Ir 0.000 0.000 0.500  0.23
Ir 0.500 0.000 0.000  0.11
Ga 0.000 0.000 0.000  0.00
Cr 0.000 0.500 0.000  2.52
Ta 0.500 0.500 0.500  -0.71

Calculated values
* electronic total energy: -37.3 eV/cell
* space-group type: P4/mmm, No. 123
* DFT formation energy: 0.99 eV/atom


# 5
VASP calculation (PBE) on KCr3Ga after structural relaxation.

Cell: 5.072 5.072 5.072 Å, 90.00 90.00 90.00°
Site moments in Bohr magnetons follow the coordinates.
Fractional coordinates of all 5 atoms:
Cr 0.000 0.000 0.500  4.02
Cr 0.000 0.500 0.000  3.95
Cr 0.500 0.000 0.000  3.71
K 0.500 0.500 0.500  0.05
Ga 0.000 0.000 0.000  -0.12

Calculated values
* electronic total energy: -27.6 eV/cell
* space-group type: Pm-3m, No. 221
* DFT formation energy: 1.07 eV/atom


# 6
VASP calculation (PBE) on KCr2Ga2 after structural relaxation.

Cell: 4.927 4.927 5.305 Å, 62.33 62.33 90.00°
Site moments in Bohr magnetons follow the coordinates.
Fractional coordinates of all 5 atoms:
K 0.000 0.000 0.000  0.00
Ga 0.750 0.250 0.500  0.03
Ga 0.250 0.750 0.500  0.03
Cr 0.383 0.383 0.233  0.38
Cr 0.617 0.617 0.767  0.38

Calculated values
* electronic total energy: -23.3 eV/cell
* space-group type: I4/mmm, No. 139
* DFT formation energy: 0.62 eV/atom


# 7
VASP calculation (PBE) on KCr3Ga after structural relaxation.

Cell: 4.263 4.263 4.263 Å, 90.00 90.00 90.00°
Site moments in Bohr magnetons follow the coordinates.
Fractional coordinates of all 5 atoms:
Cr 0.500 0.000 0.000  1.57
Cr 0.000 0.500 0.000  1.27
Cr 0.000 0.000 0.500  1.28
Ga 0.500 0.500 0.500  -0.08
K 0.000 0.000 0.000  0.02

Calculated values
* electronic total energy: -19.4 eV/cell
* space-group type: Pm-3m, No. 221
* DFT formation energy: 2.71 eV/atom


# 8
VASP calculation (PBE) on KCr2Ga after structural relaxation.

Cell: 5.572 5.572 9.480 Å, 72.91 72.91 90.00°
Site moments in Bohr magnetons follow the coordinates.
Fractional coordinates of all 8 atoms:
Cr 0.875 0.125 0.250  3.85
Cr 0.875 0.625 0.250  3.85
Cr 0.375 0.125 0.750  3.83
Cr 0.875 0.125 0.750  3.83
Ga 0.750 0.250 0.500  -0.14
Ga 0.000 0.000 0.000  -0.14
K 0.250 0.750 0.500  0.01
K 0.500 0.500 0.000  0.01

Calculated values
* electronic total energy: -38.8 eV/cell
* space-group type: I4_1/amd, No. 141
* DFT formation energy: 0.99 eV/atom


# 9
VASP calculation (PBE) on KCrGa2 after structural relaxation.

Cell: 5.338 5.338 9.496 Å, 73.68 73.68 90.00°
Site moments in Bohr magnetons follow the coordinates.
Fractional coordinates of all 8 atoms:
K 0.250 0.750 0.500  0.00
K 0.500 0.500 0.000  0.00
Ga 0.876 0.625 0.250  -0.07
Ga 0.375 0.126 0.750  -0.07
Ga 0.875 0.124 0.750  -0.05
Ga 0.874 0.125 0.250  -0.07
Cr 0.750 0.250 0.500  3.53
Cr 0.000 0.000 0.000  3.53

Calculated values
* electronic total energy: -30.2 eV/cell
* space-group type: I-42d, No. 122
* DFT formation energy: 0.42 eV/atom


# 10
VASP calculation (PBE) on KCrGa2 after structural relaxation.

Cell: 4.859 4.859 4.859 Å, 60.00 60.00 60.00°
Site moments in Bohr magnetons follow the coordinates.
Fractional coordinates of all 4 atoms:
Ga 0.250 0.250 0.250  -0.02
Ga 0.750 0.750 0.750  -0.02
Cr 0.500 0.500 0.500  -0.45
K 0.000 0.000 0.000  0.01

Calculated values
* electronic total energy: -13.1 eV/cell
* space-group type: Fm-3m, No. 225
* DFT formation energy: 0.91 eV/atom


# 11
VASP calculation (PBE) on KCr2Ga2 after structural relaxation.

Cell: 8.073 8.073 2.587 Å, 90.00 90.00 90.00°
Fractional coordinates of all 10 atoms:
Ga 0.684 0.816 0.500
Ga 0.184 0.684 0.500
Ga 0.816 0.316 0.500
Ga 0.316 0.184 0.500
Cr 0.097 0.403 0.000
Cr 0.903 0.597 0.000
Cr 0.403 0.903 0.000
Cr 0.597 0.097 0.000
K 0.000 0.000 0.000
K 0.500 0.500 0.000

Calculated values
* electronic total energy: -49.3 eV/cell
* space-group type: P4/mbm, No. 127
* DFT formation energy: 0.35 eV/atom


# 12
VASP calculation (PBE) on KCr2Ga2 after structural relaxation.

Cell: 3.223 3.223 9.986 Å, 80.71 80.71 90.00°
Fractional coordinates of all 5 atoms:
Ga 0.638 0.638 0.723
Ga 0.362 0.362 0.277
K 0.000 0.000 0.000
Cr 0.750 0.250 0.500
Cr 0.250 0.750 0.500

Calculated values
* electronic total energy: -24.6 eV/cell
* space-group type: I4/mmm, No. 139
* DFT formation energy: 0.37 eV/atom


Please write out number 2 again, unchanged.
VASP calculation (PBE) on ScCrGaIr after structural relaxation.

Cell: 4.441 4.441 4.441 Å, 60.00 60.00 60.00°
Site moments in Bohr magnetons follow the coordinates.
Fractional coordinates of all 4 atoms:
Ir 0.750 0.750 0.750  -0.11
Sc 0.500 0.500 0.500  -0.03
Ga 0.000 0.000 0.000  -0.07
Cr 0.250 0.250 0.250  3.02

Calculated values
* electronic total energy: -29.8 eV/cell
* space-group type: F-43m, No. 216
* DFT formation energy: -0.48 eV/atom